--- A ---
{
  "formula": "Sr2Hg2Cl",
  "functional": "PBE",
  "state": "relaxed",
  "sg": "No. 127",
  "dos_ef_per_ev_atom": 0.807,
  "lattice": [[8.450, 0.000, 0.000], [0.000, 8.450, 0.000], [0.000, 0.000, 4.769]],
  "species": ["Sr", "Sr", "Sr", "Sr", "Hg", "Hg", "Hg", "Hg", "Cl", "Cl"],
  "frac_coords": [[0.181, 0.319, 0.000], [0.319, 0.819, 0.000], [0.681, 0.181, 0.000], [0.819, 0.681, 0.000], [0.123, 0.623, 0.500], [0.377, 0.123, 0.500], [0.623, 0.877, 0.500], [0.877, 0.377, 0.500], [0.000, 0.000, 0.000], [0.500, 0.500, 0.000]]
}


--- B ---
{
  "formula": "Sr2Hg2Cl",
  "functional": "PBE",
  "state": "relaxed",
  "sg": "No. 139",
  "dos_ef_per_ev_atom": 0.882,
  "lattice": [[6.270, 0.000, 0.000], [0.000, 6.270, 0.000], [0.000, 0.000, 9.495]],
  "species": ["Sr", "Sr", "Sr", "Sr", "Hg", "Hg", "Hg", "Hg", "Cl", "Cl"],
  "frac_coords": [[0.000, 0.500, 0.250], [0.000, 0.500, 0.750], [0.500, 0.000, 0.250], [0.500, 0.000, 0.750], [0.000, 0.000, 0.147], [0.000, 0.000, 0.853], [0.500, 0.500, 0.353], [0.500, 0.500, 0.647], [0.000, 0.000, 0.500], [0.500, 0.500, 0.000]]
}


Last place for stability: B